A relaxed structure of LiOs2Br, computed with PBE.

Geometry as extended XYZ:
```
4
Lattice="-1.4800 1.8145 7.0101 1.4800 -1.8145 7.0101 1.4800 1.8145 -7.0101" Properties=species:S:1:pos:R:3 pbc="T T T"
Li 0.0000 0.0000 0.0000
Os 1.4800 0.0000 4.0020
Os 0.0000 1.8145 3.0082
Br 0.0000 0.0000 7.0101
```

* ΔE_f (raw): 0.494 eV/atom
* relative energy among the computed polymorphs: 165.3 meV/atom